ReRu2Rh after structural relaxation, computed with GGA-PBE.

Cell: 5.4453 5.4437 4.6998 Å, 90.00 125.35 90.00°
Last column: nearest neighbours and their distance in Å.
Space group C2 (No. 5)
Inequivalent atoms, fractional coordinates:
Re 0.0000 0.0000 0.0000 x2  4 Rh 2.71-2.72, 8 Ru 2.71-2.73
Ru 0.0000 0.2510 0.5000 x2  4 Re 2.71-2.72, 4 Ru 2.72, 4 Rh 2.72-2.73
Ru 0.0000 0.5014 0.0000 x2  4 Rh 2.71-2.72, 4 Re 2.71-2.73, 4 Ru 2.72
Rh 0.0000 0.7504 0.5000 x2  8 Ru 2.71-2.73, 4 Re 2.71-2.72

Output
ΔH_f (0 K) in eV/atom: 0.014

---

ReRu2Rh8 after structural relaxation, computed with GGA-PBE.

Cell: 10.5862 7.9358 4.4909 Å, 90.00 105.66 90.00°
Last column: nearest neighbours and their distance in Å.
Space group C2/m (No. 12)
Inequivalent atoms, fractional coordinates:
Re 0.0000 0.0000 0.0000 x2  4 Ru 2.52-2.81, 6 Rh 2.53-2.56
Ru 0.1400 0.0000 0.5510 x4  5 Rh 2.47-2.65, 1 Re 2.52
Rh 0.0785 0.2692 0.7922 x8  5 Rh 2.55-2.81, 1 Ru 2.56, 1 Re 2.56
Rh 0.1001 0.5000 0.2717 x4  7 Rh 2.59-2.79, 1 Ru 2.65
Rh 0.2481 0.0000 0.1286 x4  2 Ru 2.47-2.54, 1 Re 2.53, 4 Rh 2.55-2.74

Output
ΔH_f (0 K) in eV/atom: 0.547

---

ReRu2Rh after structural relaxation, computed with GGA-PBE.

Cell: 3.2684 3.2684 5.4783 Å, 90.00 90.00 90.00°
Last column: nearest neighbours and their distance in Å.
Space group P4mm (No. 99)
Inequivalent atoms, fractional coordinates:
Re 0.0000 0.0000 0.0000 x1  4 Rh 2.68, 6 Ru 2.68-2.80
Ru 0.0000 0.0000 0.4893 x1  4 Rh 2.67, 2 Re 2.68-2.80, 4 Ru 2.70
Ru 0.5000 0.5000 0.7442 x1  4 Ru 2.70, 4 Re 2.70, 2 Rh 2.73-2.75
Rh 0.5000 0.5000 0.2464 x1  6 Ru 2.67-2.75, 4 Re 2.68

Output
ΔH_f (0 K) in eV/atom: 0.393

---

ReRu2Rh after structural relaxation, computed with GGA-PBE.

Cell: 9.0371 2.7108 4.7192 Å, 90.00 99.82 90.00°
Last column: nearest neighbours and their distance in Å.
Space group Cm (No. 8)
Inequivalent atoms, fractional coordinates:
Re 0.0000 0.0000 0.0000 x2  7 Ru 2.69-2.75, 2 Re 2.71, 3 Rh 2.72
Ru 0.2495 0.5000 0.2512 x2  5 Ru 2.69-2.72, 4 Rh 2.72, 3 Re 2.72-2.73
Ru 0.4966 0.0000 0.4910 x2  4 Re 2.69-2.75, 5 Ru 2.69-2.72, 3 Rh 2.72-2.76
Rh 0.2503 0.0000 0.7517 x2  2 Rh 2.71, 3 Re 2.72, 7 Ru 2.72-2.76

Output
ΔH_f (0 K) in eV/atom: 0.028

---

ReRu4Rh after structural relaxation, computed with GGA-PBE.

Cell: 11.8831 2.7055 5.4258 Å, 90.00 103.11 90.00°
Last column: nearest neighbours and their distance in Å.
Space group C2/m (No. 12)
Inequivalent atoms, fractional coordinates:
Re 0.0000 0.0000 0.0000 x2  2 Re 2.71, 2 Rh 2.71, 8 Ru 2.71-2.73
Ru 0.1665 0.5000 0.3314 x4  8 Ru 2.68-2.74, 2 Re 2.71, 2 Rh 2.72
Ru 0.1698 0.5000 0.8388 x4  8 Ru 2.65-2.74, 2 Re 2.73, 2 Rh 2.76
Rh 0.0000 0.0000 0.5000 x2  2 Rh 2.71, 2 Re 2.71, 8 Ru 2.72-2.76

Output
ΔH_f (0 K) in eV/atom: 0.054

---

ReRu2Rh after structural relaxation, computed with GGA-PBE.

Cell: 6.1483 6.1483 6.1483 Å, 90.00 90.00 90.00°
Last column: nearest neighbours and their distance in Å.
Space group Fm-3m (No. 225)
Inequivalent atoms, fractional coordinates:
Re 0.0000 0.0000 0.0000 x4  8 Ru 2.66
Ru 0.2500 0.2500 0.2500 x8  4 Re 2.66, 4 Rh 2.66
Rh 0.0000 0.0000 0.5000 x4  8 Ru 2.66

Output
ΔH_f (0 K) in eV/atom: 0.392

---

ReRuRh after structural relaxation, computed with GGA-PBE.

Cell: 5.8787 5.8787 5.8787 Å, 90.00 90.00 90.00°
Last column: nearest neighbours and their distance in Å.
Space group F-43m (No. 216)
Inequivalent atoms, fractional coordinates:
Re 0.0000 0.0000 0.0000 x4  4 Ru 2.55, 4 Rh 2.55
Ru 0.2500 0.2500 0.2500 x4  4 Re 2.55
Rh 0.2500 0.2500 0.7500 x4  4 Re 2.55

Output
ΔH_f (0 K) in eV/atom: 0.397

---

ReRu2Rh after structural relaxation, computed with GGA-PBE.

Cell: 3.8630 3.8737 15.2126 Å, 90.00 90.00 90.00°
Last column: nearest neighbours and their distance in Å.
Space group Imma (No. 74)
Inequivalent atoms, fractional coordinates:
Re 0.0000 0.2500 0.0649 x4  4 Ru 2.65-2.71, 6 Rh 2.73-2.74, 2 Re 2.77
Ru 0.0000 0.2500 0.3154 x4  2 Re 2.65, 2 Rh 2.69, 8 Ru 2.72-2.77
Ru 0.0000 0.2500 0.8102 x4  8 Ru 2.66-2.74, 2 Re 2.71, 2 Rh 2.74
Rh 0.0000 0.2500 0.5616 x4  4 Ru 2.69-2.74, 2 Rh 2.70, 6 Re 2.73-2.74

Output
ΔH_f (0 K) in eV/atom: 0.010

---

ReRu2Rh after structural relaxation, computed with GGA-PBE.

Cell: 5.4549 7.6602 2.7266 Å, 90.00 90.00 90.00°
Last column: nearest neighbours and their distance in Å.
Space group Cmmm (No. 65)
Inequivalent atoms, fractional coordinates:
Re 0.0000 0.0000 0.0000 x2  8 Ru 2.72, 2 Re 2.73, 2 Rh 2.73
Ru 0.2500 0.2500 0.5000 x4  4 Re 2.72, 4 Rh 2.72, 4 Ru 2.73
Rh 0.0000 0.5000 0.0000 x2  8 Ru 2.72, 2 Rh 2.73, 2 Re 2.73

Output
ΔH_f (0 K) in eV/atom: 0.035

---

ReRu2Rh after structural relaxation, computed with GGA-PBE.

Cell: 2.7353 4.3429 4.7686 Å, 90.00 90.00 90.00°
Last column: nearest neighbours and their distance in Å.
Space group Pmm2 (No. 25)
Inequivalent atoms, fractional coordinates:
Re 0.0000 0.0000 0.0000 x1  6 Ru 2.67-2.79, 4 Rh 2.70, 2 Re 2.74
Ru 0.0000 0.5000 0.3251 x1  2 Re 2.67, 6 Ru 2.69-2.74, 4 Rh 2.75
Ru 0.5000 0.0000 0.4910 x1  6 Ru 2.69-2.74, 2 Rh 2.69, 4 Re 2.71-2.79
Rh 0.5000 0.5000 0.8248 x1  6 Ru 2.69-2.75, 4 Re 2.70, 2 Rh 2.74

Output
ΔH_f (0 K) in eV/atom: -0.086

---

ReRuRhSe2 after structural relaxation, computed with GGA-PBE.

Cell: 4.7435 4.7435 4.6988 Å, 90.00 90.00 90.00°
Last column: nearest neighbours and their distance in Å.
Space group P4/mmm (No. 123)
Inequivalent atoms, fractional coordinates:
Re 0.0000 0.0000 0.0000 x1  8 Se 3.34, 4 Rh 3.35
Ru 0.5000 0.5000 0.5000 x1  2 Rh 2.35, 4 Se 2.37
Rh 0.5000 0.5000 0.0000 x1  2 Ru 2.35
Se 0.0000 0.5000 0.5000 x2  2 Ru 2.37

Output
Formation energy (no corrections) in eV per atom: 1.5284

---

VReRuRh2 after structural relaxation, computed with GGA-PBE.

Cell: 4.6302 4.6302 4.5964 Å, 90.00 90.00 90.00°
Last column: nearest neighbours and their distance in Å.
Space group P4/mmm (No. 123)
Inequivalent atoms, fractional coordinates:
V 0.0000 0.0000 0.0000 x1  8 Rh 3.26, 4 Re 3.27
Re 0.5000 0.5000 0.0000 x1  2 Ru 2.30
Ru 0.5000 0.5000 0.5000 x1  2 Re 2.30, 4 Rh 2.32
Rh 0.0000 0.5000 0.5000 x2  2 Ru 2.32

Output
ΔH_f (0 K) in eV/atom: 1.836

---

no.,raw total energy (eV per cell)
1,-76.594
2,-167.595
3,-36.781
4,-76.475
5,-113.156
6,-147.134
7,-111.532
8,-153.248
9,-76.425
10,-38.694
11,-28.402
12,-36.365